Computed, not measured: crystalline Tm3In3CuPd2 at its relaxed geometry at the PBE-GGA level of DFT.

The space group is P-62m (No. 189) and the conventional cell measures 7.6122, 7.6122 and 3.7956 Å, with angles of 90.00, 90.00 and 120.00 degrees. The distinct sites, in fractional coordinates, are Tm at (0.0000, 0.4080, 0.0000), In at (0.0000, 0.7461, 0.5000), Cu at (0.0000, 0.0000, 0.0000) and Pd at (0.3333, 0.6667, 0.5000).

Computed, not measured: crystalline Tm3In3Cu2Pd at its relaxed geometry at the PBE-GGA level of DFT.

The space group is P-62m (No. 189) and the conventional cell measures 7.4922, 7.4922 and 3.8868 Å, with angles of 90.00, 90.00 and 120.00 degrees. The distinct sites, in fractional coordinates, are Tm at (0.0000, 0.4085, 0.0000), In at (0.0000, 0.7360, 0.5000), Cu at (0.3333, 0.6667, 0.5000) and Pd at (0.0000, 0.0000, 0.0000).

Computed, not measured: crystalline YTm2In3CuPd2 at its relaxed geometry at the PBE-GGA level of DFT.

The space group is Amm2 (No. 38) and the conventional cell measures 3.694, 13.446 and 7.727 Å, with angles of 90.00, 90.00 and 90.00 degrees. The distinct sites, in fractional coordinates, are Y at (0.000, 0.000, 0.000), Tm at (0.000, 0.204, 0.612), In at (0.500, 0.000, 0.665), In at (0.500, 0.129, 0.280), Cu at (0.000, 0.000, 0.409) and Pd at (0.500, 0.169, 0.907).

Computed, not measured: crystalline PmInCu4 at its relaxed geometry at the PBE-GGA level of DFT.

The space group is F-43m (No. 216) and the conventional cell measures 7.287, 7.287 and 7.287 Å, with angles of 90.00, 90.00 and 90.00 degrees. The distinct sites, in fractional coordinates, are Pm at (0.000, 0.000, 0.000), In at (0.250, 0.250, 0.250) and Cu at (0.124, 0.124, 0.624).

Computed, not measured: crystalline PmInCu at its relaxed geometry at the PBE-GGA level of DFT.

The space group is F-43m (No. 216) and the conventional cell measures 6.932, 6.932 and 6.932 Å, with angles of 90.00, 90.00 and 90.00 degrees. The distinct sites, in fractional coordinates, are Pm at (0.000, 0.000, 0.000), In at (0.250, 0.250, 0.250) and Cu at (0.250, 0.250, 0.750).

The calculation puts the energy relative to the lowest polymorph listed for this composition at 50 kJ/mol of formula units.

Computed, not measured: crystalline Pm2InCu2 at its relaxed geometry at the PBE-GGA level of DFT.

The space group is P4/mbm (No. 127) and the conventional cell measures 7.704, 7.704 and 3.827 Å, with angles of 90.00, 90.00 and 90.00 degrees. The distinct sites, in fractional coordinates, are Pm at (0.175, 0.325, 0.000), In at (0.000, 0.000, 0.500) and Cu at (0.118, 0.618, 0.500).

Number 1: final energy -4.665 eV/atom, calculated volume 190.5 Å³/f.u., spin magnetization 0.001 μB/atom. Number 2: final energy -4.335 eV/atom, calculated volume 188.9 Å³/f.u., spin magnetization 0.000 μB/atom. Number 3: final energy -4.891 eV/atom, calculated volume 191.9 Å³/f.u., spin magnetization 0.001 μB/atom. Number 4: final energy -3.965 eV/atom, calculated volume 96.8 Å³/f.u., spin magnetization 0.000 μB/atom. Number 5: final energy -3.446 eV/atom, calculated volume 83.3 Å³/f.u., spin magnetization 0.005 μB/atom. Number 6: final energy -4.284 eV/atom, calculated volume 113.6 Å³/f.u., spin magnetization 0.000 μB/atom.